Material: Na5In4Sb4
Method: DFT, PBE
State: optimized geometry

Lattice parameters (Å, degrees): 12.8231 12.8231 4.6809 90.00 90.00 90.00
With the nearest neighbours (Å) after each atom.
Space group I4/m (No. 87)
Asymmetric unit:
1 Na 0.0000 0.0000 0.0000 [2 per cell]  4 Sb 3.22
2 Na 0.1296 0.2072 0.5000 [8 per cell]  5 Sb 3.33-3.42, 3 In 3.60-3.67
3 In 0.0813 0.5997 0.5000 [8 per cell]  3 Sb 3.05-3.10, 5 In 3.30
4 Sb 0.0614 0.7564 0.0000 [8 per cell]  3 In 3.05-3.10, 4 Na 3.22-3.38

Summary:
Total magnetization   0.000 μB per formula unit
Formation energy from raw total energies   -0.225 eV/atom
Electronic total energy   -2.843 eV/atom
Density of states at the Fermi level   3.554 states/eV/f.u.